Compound: SrZrRe2
Source: Alexandria
Functional: PBE
Structure: optimized geometry

Cell and atoms, written as POSCAR:
```
SrZrRe2
1.0
3.356 0.000 0.000
0.000 4.789 0.000
0.000 0.000 9.732
Sr Zr Re
2 2 4
direct
0.000 0.000 0.000 Sr
0.500 0.500 0.000 Sr
0.000 0.000 0.500 Zr
0.500 0.500 0.500 Zr
0.000 0.500 0.274 Re
0.000 0.500 0.726 Re
0.500 0.000 0.274 Re
0.500 0.000 0.726 Re
```

## Properties
Raw total energy   -0.597 Ry per atom
Distance to the lowest polymorph of the same formula   0.189 eV per atom
Symmetry   Cmmm, No. 65